--- w ---
An optimized crystal structure of BeAlO. Source: Alexandria, functional GGA-PBE.

The space group is P-6m2 (No. 187) and the conventional cell measures 2.6828, 2.6828 and 7.6166 Å, with angles of 90.00, 90.00 and 120.00 degrees. The distinct sites, in fractional coordinates, are Be at (0.0000, 0.0000, 0.0000), Al at (0.6667, 0.3333, 0.5000) and O at (0.6667, 0.3333, 0.0000).

Its volume is 47.5 Å³ per cell. The size of the total moment comes out at 0.0 μB per formula unit.

--- x ---
An optimized crystal structure of BeAlO. Source: Alexandria, functional GGA-PBE.

The space group is Pm (No. 6) and the conventional cell measures 4.491, 2.723 and 6.591 Å, with angles of 90.00, 109.36 and 90.00 degrees. The distinct sites, in fractional coordinates, are Be at (0.000, 0.000, 0.000), Be at (0.499, 0.500, 0.987), Al at (0.426, 0.500, 0.556), Al at (0.851, 0.000, 0.405), O at (0.152, 0.500, 0.983) and O at (0.702, 0.000, 0.084).

Its volume is 76.0 Å³ per cell. The size of the total moment comes out at 0.0 μB per formula unit.

Which of them is most stable? Easy: w.

--- w ---
An optimized crystal structure of BeAl2O. Source: Alexandria, functional GGA-PBE.

The space group is I-42d (No. 122) and the conventional cell measures 5.095, 5.095 and 8.840 Å, with angles of 90.00, 90.00 and 90.00 degrees. The distinct sites, in fractional coordinates, are Be at (0.000, 0.000, 0.000), Al at (0.189, 0.250, 0.625) and O at (0.000, 0.000, 0.500).

Its volume is 229.4 Å³ per cell. The size of the total moment comes out at 0.0 μB per formula unit.

--- x ---
An optimized crystal structure of BeAl2O. Source: Alexandria, functional GGA-PBE.

The space group is Fm-3m (No. 225) and the conventional cell measures 5.864, 5.864 and 5.864 Å, with angles of 90.00, 90.00 and 90.00 degrees. The distinct sites, in fractional coordinates, are Be at (0.000, 0.000, 0.000), Al at (0.250, 0.250, 0.250) and O at (0.000, 0.000, 0.500).

Its volume is 201.6 Å³ per cell. The size of the total moment comes out at 0.0 μB per formula unit.

Which of them is most stable? Easy: w.

--- w ---
An optimized crystal structure of Be3AlO. Source: Alexandria, functional GGA-PBE.

The space group is Pm-3m (No. 221) and the conventional cell measures 4.346, 4.346 and 4.346 Å, with angles of 90.00, 90.00 and 90.00 degrees. The distinct sites, in fractional coordinates, are Be at (0.000, 0.000, 0.500), Al at (0.000, 0.000, 0.000) and O at (0.500, 0.500, 0.500).

Its volume is 82.1 Å³ per cell. The size of the total moment comes out at 1.0 μB per formula unit.

--- x ---
An optimized crystal structure of Be3AlO. Source: Alexandria, functional GGA-PBE.

The space group is Pm-3m (No. 221) and the conventional cell measures 3.676, 3.676 and 3.676 Å, with angles of 90.00, 90.00 and 90.00 degrees. The distinct sites, in fractional coordinates, are Be at (0.000, 0.000, 0.500), Al at (0.500, 0.500, 0.500) and O at (0.000, 0.000, 0.000).

Its volume is 49.7 Å³ per cell. The size of the total moment comes out at 0.0 μB per formula unit.

Which of them is most stable? Easy: x.

--- w ---
An optimized crystal structure of BeAlOs. Source: Alexandria, functional GGA-PBE.

The space group is Fmm2 (No. 42) and the conventional cell measures 2.969, 4.537 and 11.721 Å, with angles of 90.00, 90.00 and 90.00 degrees. The distinct sites, in fractional coordinates, are Be at (0.000, 0.000, 0.000), Al at (0.000, 0.000, 0.673) and Os at (0.000, 0.000, 0.350).

Its volume is 157.9 Å³ per cell. The size of the total moment comes out at 0.0 μB per formula unit.

--- x ---
An optimized crystal structure of BeAlOs. Source: Alexandria, functional GGA-PBE.

The space group is Cmcm (No. 63) and the conventional cell measures 3.063, 12.083 and 3.994 Å, with angles of 90.00, 90.00 and 90.00 degrees. The distinct sites, in fractional coordinates, are Be at (0.000, 0.248, 0.250), Al at (0.000, 0.421, 0.750) and Os at (0.000, 0.102, 0.750).

Its volume is 147.8 Å³ per cell. The size of the total moment comes out at 0.0 μB per formula unit.

Which of them is most stable? Easy: x.

--- w ---
An optimized crystal structure of BeAlOs. Source: Alexandria, functional GGA-PBE.

The space group is F-43m (No. 216) and the conventional cell measures 5.400, 5.400 and 5.400 Å, with angles of 90.00, 90.00 and 90.00 degrees. The distinct sites, in fractional coordinates, are Be at (0.000, 0.000, 0.000), Al at (0.250, 0.250, 0.750) and Os at (0.250, 0.250, 0.250).

Its volume is 157.5 Å³ per cell. The size of the total moment comes out at 0.0 μB per formula unit.

--- x ---
An optimized crystal structure of BeAlOs. Source: Alexandria, functional GGA-PBE.

The space group is P3m1 (No. 156) and the conventional cell measures 3.9882, 3.9882 and 2.7491 Å, with angles of 90.00, 90.00 and 120.00 degrees. The distinct sites, in fractional coordinates, are Be at (0.0000, 0.0000, 0.0000), Al at (0.3333, 0.6667, 0.6262) and Os at (0.6667, 0.3333, 0.1345).

Its volume is 37.9 Å³ per cell. The size of the total moment comes out at 0.0 μB per formula unit.

--- y ---
An optimized crystal structure of BeAlOs. Source: Alexandria, functional GGA-PBE.

The space group is F-43m (No. 216) and the conventional cell measures 5.655, 5.655 and 5.655 Å, with angles of 90.00, 90.00 and 90.00 degrees. The distinct sites, in fractional coordinates, are Be at (0.000, 0.000, 0.000), Al at (0.000, 0.000, 0.500) and Os at (0.250, 0.250, 0.750).

Its volume is 180.9 Å³ per cell. The size of the total moment comes out at 0.0 μB per formula unit.

--- z ---
An optimized crystal structure of BeAlOs. Source: Alexandria, functional GGA-PBE.

The space group is I4mm (No. 107) and the conventional cell measures 3.008, 3.008 and 8.157 Å, with angles of 90.00, 90.00 and 90.00 degrees. The distinct sites, in fractional coordinates, are Be at (0.000, 0.000, 0.000), Al at (0.000, 0.000, 0.312) and Os at (0.000, 0.000, 0.631).

Its volume is 73.8 Å³ per cell. The size of the total moment comes out at 0.0 μB per formula unit.

Which of them is most stable? Easy: z.

--- w ---
An optimized crystal structure of BeAl3Os. Source: Alexandria, functional GGA-PBE.

The space group is Pm-3m (No. 221) and the conventional cell measures 4.734, 4.734 and 4.734 Å, with angles of 90.00, 90.00 and 90.00 degrees. The distinct sites, in fractional coordinates, are Be at (0.000, 0.000, 0.000), Al at (0.000, 0.500, 0.500) and Os at (0.500, 0.500, 0.500).

Its volume is 106.1 Å³ per cell. The size of the total moment comes out at 0.0 μB per formula unit.

--- x ---
An optimized crystal structure of BeAl3Os. Source: Alexandria, functional GGA-PBE.

The space group is Pm-3m (No. 221) and the conventional cell measures 4.177, 4.177 and 4.177 Å, with angles of 90.00, 90.00 and 90.00 degrees. The distinct sites, in fractional coordinates, are Be at (0.000, 0.000, 0.000), Al at (0.000, 0.000, 0.500) and Os at (0.500, 0.500, 0.500).

Its volume is 72.9 Å³ per cell. The size of the total moment comes out at 0.0 μB per formula unit.

Which of them is most stable? Easy: w.

--- w ---
An optimized crystal structure of BeAl2Os2. Source: Alexandria, functional GGA-PBE.

The space group is P4/mbm (No. 127) and the conventional cell measures 5.968, 5.968 and 3.941 Å, with angles of 90.00, 90.00 and 90.00 degrees. The distinct sites, in fractional coordinates, are Be at (0.000, 0.000, 0.000), Al at (0.161, 0.339, 0.500) and Os at (0.153, 0.653, 0.000).

Its volume is 140.3 Å³ per cell. The size of the total moment comes out at 0.0 μB per formula unit.

--- x ---
An optimized crystal structure of BeAl2Os2. Source: Alexandria, functional GGA-PBE.

The space group is I4/mmm (No. 139) and the conventional cell measures 3.646, 3.646 and 12.415 Å, with angles of 90.00, 90.00 and 90.00 degrees. The distinct sites, in fractional coordinates, are Be at (0.000, 0.000, 0.000), Al at (0.000, 0.000, 0.399) and Os at (0.000, 0.500, 0.250).

Its volume is 165.0 Å³ per cell. The size of the total moment comes out at 0.0 μB per formula unit.

Which of them is most stable? Easy: w.

--- w ---
An optimized crystal structure of BeAl2Os2. Source: Alexandria, functional GGA-PBE.

The space group is I4/mmm (No. 139) and the conventional cell measures 3.397, 3.397 and 12.734 Å, with angles of 90.00, 90.00 and 90.00 degrees. The distinct sites, in fractional coordinates, are Be at (0.000, 0.000, 0.000), Al at (0.000, 0.500, 0.250) and Os at (0.000, 0.000, 0.399).

Its volume is 147.0 Å³ per cell. The size of the total moment comes out at 0.0 μB per formula unit.

--- x ---
An optimized crystal structure of BeAl2Os2. Source: Alexandria, functional GGA-PBE.

The space group is P4/mbm (No. 127) and the conventional cell measures 6.729, 6.729 and 3.073 Å, with angles of 90.00, 90.00 and 90.00 degrees. The distinct sites, in fractional coordinates, are Be at (0.000, 0.000, 0.000), Al at (0.137, 0.363, 0.000) and Os at (0.162, 0.662, 0.500).

Its volume is 139.1 Å³ per cell. The size of the total moment comes out at 0.0 μB per formula unit.

Which of them is most stable? Easy: x.

--- w ---
An optimized crystal structure of BeAlP2. Source: Alexandria, functional GGA-PBE.

The space group is C2/m (No. 12) and the conventional cell measures 5.992, 3.448 and 5.915 Å, with angles of 90.00, 110.96 and 90.00 degrees. The distinct sites, in fractional coordinates, are Be at (0.000, 0.000, 0.000), Al at (0.000, 0.500, 0.500) and P at (0.231, 0.500, 0.226).

Its volume is 114.1 Å³ per cell. The size of the total moment comes out at 0.0 μB per formula unit.

--- x ---
An optimized crystal structure of BeAlP2. Source: Alexandria, functional GGA-PBE.

The space group is Fm-3m (No. 225) and the conventional cell measures 6.012, 6.012 and 6.012 Å, with angles of 90.00, 90.00 and 90.00 degrees. The distinct sites, in fractional coordinates, are Be at (0.000, 0.000, 0.000), Al at (0.000, 0.000, 0.500) and P at (0.250, 0.250, 0.250).

Its volume is 217.3 Å³ per cell. The size of the total moment comes out at 0.0 μB per formula unit.

Which of them is most stable? Easy: w.

--- w ---
An optimized crystal structure of BeAlP2. Source: Alexandria, functional GGA-PBE.

The space group is C2/m (No. 12) and the conventional cell measures 5.194, 6.689 and 3.601 Å, with angles of 90.00, 113.37 and 90.00 degrees. The distinct sites, in fractional coordinates, are Be at (0.000, 0.000, 0.000), Al at (0.000, 0.500, 0.000) and P at (0.250, 0.250, 0.500).

Its volume is 114.8 Å³ per cell. The size of the total moment comes out at 0.0 μB per formula unit.

--- x ---
An optimized crystal structure of BeAlP2. Source: Alexandria, functional GGA-PBE.

The space group is P2/m (No. 10) and the conventional cell measures 3.685, 3.322 and 4.971 Å, with angles of 90.00, 105.65 and 90.00 degrees. The distinct sites, in fractional coordinates, are Be at (0.000, 0.000, 0.000), Al at (0.500, 0.000, 0.500) and P at (0.265, 0.500, 0.800).

Its volume is 58.6 Å³ per cell. The size of the total moment comes out at 0.0 μB per formula unit.

--- y ---
An optimized crystal structure of BeAlP2. Source: Alexandria, functional GGA-PBE.

The space group is I-42d (No. 122) and the conventional cell measures 5.056, 5.056 and 11.148 Å, with angles of 90.00, 90.00 and 90.00 degrees. The distinct sites, in fractional coordinates, are Be at (0.000, 0.000, 0.000), Al at (0.000, 0.000, 0.500) and P at (0.213, 0.250, 0.125).

Its volume is 285.0 Å³ per cell. The size of the total moment comes out at 0.0 μB per formula unit.

--- z ---
An optimized crystal structure of BeAlP2. Source: Alexandria, functional GGA-PBE.

The space group is Cm (No. 8) and the conventional cell measures 6.518, 3.470 and 5.357 Å, with angles of 90.00, 102.34 and 90.00 degrees. The distinct sites, in fractional coordinates, are Be at (0.000, 0.000, 0.000), Al at (0.405, 0.500, 0.519), P at (0.052, 0.500, 0.281) and P at (0.281, 0.000, 0.820).

Its volume is 118.4 Å³ per cell. The size of the total moment comes out at 0.0 μB per formula unit.

Which of them is most stable? Easy: y.

--- w ---
An optimized crystal structure of BeAlP2. Source: Alexandria, functional GGA-PBE.

The space group is P4/mmm (No. 123) and the conventional cell measures 3.455, 3.455 and 4.878 Å, with angles of 90.00, 90.00 and 90.00 degrees. The distinct sites, in fractional coordinates, are Be at (0.000, 0.000, 0.000), Al at (0.500, 0.500, 0.500), P at (0.000, 0.000, 0.500) and P at (0.500, 0.500, 0.000).

Its volume is 58.2 Å³ per cell. The size of the total moment comes out at 0.0 μB per formula unit.

--- x ---
An optimized crystal structure of BeAlP2. Source: Alexandria, functional GGA-PBE.

The space group is Cmmm (No. 65) and the conventional cell measures 5.066, 6.512 and 3.246 Å, with angles of 90.00, 90.00 and 90.00 degrees. The distinct sites, in fractional coordinates, are Be at (0.000, 0.000, 0.000), Al at (0.000, 0.500, 0.000) and P at (0.250, 0.250, 0.500).

Its volume is 107.1 Å³ per cell. The size of the total moment comes out at 0.0 μB per formula unit.

Which of them is most stable? Easy: w.